VASP calculation (PBE) on a relaxed structure of Ac2TbSc.

SG: Fm-3m (225)
Calculated formation energy, meV per atom: 107
DFT total energy, eV for the cell shown: -18.75
Offset from the most stable computed form, meV/atom: 32
Spin magnetization, μB per formula unit: 0.0

POSCAR file:
```
Ac2TbSc
1.0
0.000 4.160 4.160
4.160 0.000 4.160
4.160 4.160 0.000
Ac Tb Sc
2 1 1
Direct
0.250 0.250 0.250 Ac
0.750 0.750 0.750 Ac
0.000 0.000 0.000 Tb
0.500 0.500 0.500 Sc
```